[1]
Crystalline VZn2Tc at its relaxed geometry, computed with PBE.

```
data_VZn2Tc
_space_group_name_H-M_alt 'R -3 m'
_space_group_IT_number 166
_space_group_name_Hall '-R 3 2"'
_cell_length_a 2.6845
_cell_length_b 2.6845
_cell_length_c 29.1235
_cell_angle_alpha 90.00
_cell_angle_beta 90.00
_cell_angle_gamma 120.00
loop_
_atom_site_label
_atom_site_type_symbol
_atom_site_fract_x
_atom_site_fract_y
_atom_site_fract_z
V1 V 0.0000 0.0000 0.0000
Zn1 Zn 0.0000 0.0000 0.0892
Tc1 Tc 0.0000 0.0000 0.5000
```


[2]
Crystalline CaTb6Sm6 at its relaxed geometry, computed with PBE.

```
data_CaTb6Sm6
_space_group_name_H-M_alt 'P 6/m m m'
_space_group_IT_number 191
_space_group_name_Hall '-P 6 2'
_cell_length_a 6.7744
_cell_length_b 6.7744
_cell_length_c 11.4339
_cell_angle_alpha 90.00
_cell_angle_beta 90.00
_cell_angle_gamma 120.00
loop_
_atom_site_label
_atom_site_type_symbol
_atom_site_fract_x
_atom_site_fract_y
_atom_site_fract_z
Ca1 Ca 0.0000 0.0000 0.0000
Tb1 Tb 0.0000 0.5000 0.2490
Sm1 Sm 0.0000 0.0000 0.3487
Sm2 Sm 0.3333 0.6667 0.0000
Sm3 Sm 0.3333 0.6667 0.5000
```


[3]
Crystalline Rb2In9Ga3 at its relaxed geometry, computed with PBE.

```
data_Rb2In9Ga3
_space_group_name_H-M_alt 'C 1 2/c 1'
_space_group_IT_number 15
_space_group_name_Hall '-C 2yc'
_cell_length_a 16.153
_cell_length_b 9.025
_cell_length_c 12.215
_cell_angle_alpha 90.00
_cell_angle_beta 115.31
_cell_angle_gamma 90.00
loop_
_atom_site_label
_atom_site_type_symbol
_atom_site_fract_x
_atom_site_fract_y
_atom_site_fract_z
Rb1 Rb 0.171 0.079 0.247
In1 In 0.000 0.369 0.250
In2 In 0.057 0.092 0.917
In3 In 0.096 0.415 0.049
In4 In 0.099 0.327 0.740
In5 In 0.218 0.420 0.428
Ga1 Ga 0.090 0.228 0.498
Ga2 Ga 0.250 0.250 0.000
```


| no. | VASP energy (eV per atom) | N(E_F) (states/eV/atom) | energy relative to the elements (meV per atom) |
| --- | --- | --- | --- |
| 1 | -5.108 | 1.15 | 400 |
| 2 | -4.207 | 2.03 | 262 |
| 3 | -2.562 | 0.50 | -15 |